DFT (GGA-PBE) results for a relaxed structure of LiGaNi6.

a b c (Å): 4.756 4.756 6.824
angles (deg): 69.60 69.60 60.00
Site moments in Bohr magnetons follow the coordinates.
Element x y z (fractional)
Ni 0.064 0.557 0.315  0.44
Ni 0.443 0.936 0.685  0.44
Ni 0.936 0.443 0.685  0.44
Ni 0.936 0.936 0.685  0.44
Ni 0.064 0.064 0.315  0.44
Ni 0.557 0.064 0.315  0.44
Ga 0.000 0.000 0.000  -0.02
Li 0.500 0.500 0.500  -0.01

Computed properties:
DFT total energy: -4.550 eV per atom
ΔE to the lowest computed polymorph: 0.532 eV/atom